BaNaMnBiO6: relaxed, PBE with a Hubbard U.

Output
**Fermi-level density of states**: 0.650 states/eV/atom
**SG**: F-43m
**Final energy**: -5.8761 eV per atom
**Calculated volume**: 137.99 Å³ per cell

Unit cell a=5.8004 b=5.8004 c=5.8004 alpha=60.00 beta=60.00 gamma=60.00
Closest atoms and distances in Å follow each position.
Atoms (fractional coordinates):
Ba 0.2500 0.2500 0.2500  12 O 2.90
O 0.2605 0.7395 0.2605  1 Mn 1.96, 1 Bi 2.14
O 0.2605 0.7395 0.7395  1 Mn 1.96, 1 Bi 2.14
O 0.7395 0.2605 0.7395  1 Mn 1.96, 1 Bi 2.14
O 0.7395 0.7395 0.2605  1 Mn 1.96, 1 Bi 2.14
Bi 0.0000 0.0000 0.0000  6 O 2.14
Na 0.7500 0.7500 0.7500  12 O 2.90
O 0.2605 0.2605 0.7395  1 Mn 1.96, 1 Bi 2.14
Mn 0.5000 0.5000 0.5000  6 O 1.96
O 0.7395 0.2605 0.2605  1 Mn 1.96, 1 Bi 2.14